# CaHIrPt2 PBE optimized geometry
# * V: 88.6 Å³/cell
# * E: -5.193 eV per atom
# * DOS at the Fermi energy: 4.965 states/eV/cell
data_CaHIrPt2
_symmetry_space_group_name_H-M 'P 4/m m m'
_symmetry_Int_Tables_number 123
_symmetry_space_group_name_Hall '-P 4 2'
_cell_length_a 5.037
_cell_length_b 5.037
_cell_length_c 3.494
_cell_angle_alpha 90.00
_cell_angle_beta 90.00
_cell_angle_gamma 90.00
loop_
_atom_site_label
_atom_site_fract_x
_atom_site_fract_y
_atom_site_fract_z
Ca1 0.000 0.000 0.000
H1 0.500 0.500 0.000
Ir1 0.500 0.500 0.500
Pt1 0.000 0.500 0.500